Crystalline Pa4NiO10 at its relaxed geometry, computed with PBE+U.

Magnetization   0.13 μB per atom
Uncorrected energy   -9.24 eV/atom
Crystal system   tetragonal

CIF file:
```
data_Pa4NiO10
_chemical_formula_sum 'Pa8 Ni2 O20'
_cell_length_a 8.5418
_cell_length_b 8.5418
_cell_length_c 5.3964
_cell_angle_alpha 90.00
_cell_angle_beta 90.00
_cell_angle_gamma 90.00
_symmetry_space_group_name_H-M 'I 4/m'
_symmetry_Int_Tables_number 87
_symmetry_space_group_name_Hall '-I 4'
loop_
_atom_site_label
_atom_site_type_symbol
_atom_site_fract_x
_atom_site_fract_y
_atom_site_fract_z
Pa1 Pa 0.1025 0.2954 0.0000
Ni1 Ni 0.0000 0.0000 0.5000
O1 O 0.0000 0.5000 0.2500
O2 O 0.1024 0.7894 0.2402
```